No. 1
Entry from the Alexandria database: a relaxed RbCdPdPb2 crystal (GGA-PBE).

Cell lengths 5.4973, 5.4973, 5.4106 Å; angles 90.00, 90.00, 90.00 degrees
Positions (direct):
1 Pb 0.0000 0.5000 0.0000
2 Pb 0.5000 0.0000 0.0000
3 Rb 0.5000 0.5000 0.5000
4 Pd 0.0000 0.0000 0.0000
5 Cd 0.0000 0.0000 0.5000

Properties
Calculated formation energy (eV per formula unit): -0.24
SG: P4/mmm, No. 123

---

No. 2
Entry from the Alexandria database: a relaxed ThInSnHg crystal (GGA-PBE).

Cell lengths 4.6307, 4.6427, 4.9033 Å; angles 90.00, 90.00, 90.00 degrees
Positions (direct):
1 Th 0.5000 0.5000 0.0000
2 In 0.0000 0.5000 0.5000
3 Sn 0.0000 0.0000 0.0000
4 Hg 0.5000 0.0000 0.5000

Properties
Calculated formation energy (eV per formula unit): -1.50
SG: Pmmm, No. 47
ΔE to the lowest computed polymorph (meV per atom): 0

---

No. 3
Entry from the Alexandria database: a relaxed RbSn2S2 crystal (GGA-PBE).

Cell lengths 3.7663, 5.3093, 8.8986 Å; angles 103.79, 90.00, 110.77 degrees
Positions (direct):
1 Rb 0.0000 0.0000 0.0000
2 Sn 0.8485 0.6970 0.4210
3 Sn 0.1515 0.3030 0.5790
4 S 0.3380 0.6760 0.2223
5 S 0.6620 0.3240 0.7777

Properties
SG: C2/m, No. 12

---

No. 4
Entry from the Alexandria database: a relaxed PrMg3Au3 crystal (GGA-PBE).

Cell lengths 4.6287, 8.8371, 8.8397 Å; angles 120.01, 90.00, 90.00 degrees
Positions (direct):
1 Pr 0.7500 0.3334 0.6667
2 Pr 0.2500 0.6666 0.3333
3 Mg 0.7500 0.7638 0.0230
4 Mg 0.7500 0.2593 0.2363
5 Mg 0.7500 0.9770 0.7406
6 Mg 0.2500 0.2362 0.9770
7 Mg 0.2500 0.7407 0.7637
8 Mg 0.2500 0.0230 0.2594
9 Au 0.7500 0.9399 0.3779
10 Au 0.7500 0.4379 0.0600
11 Au 0.7500 0.6220 0.5620
12 Au 0.2500 0.0601 0.6221
13 Au 0.2500 0.5621 0.9400
14 Au 0.2500 0.3780 0.4380

Properties
Calculated formation energy (eV per formula unit): -4.03
SG: P6_3/m, No. 176
ΔE to the lowest computed polymorph (meV per atom): 0

---

No. 5
Entry from the Alexandria database: a relaxed TeSe crystal (GGA-PBE).

Cell lengths 3.6407, 3.6407, 3.6407 Å; angles 90.00, 90.00, 90.00 degrees
Positions (direct):
1 Se 0.0000 0.0000 0.0000
2 Te 0.5000 0.5000 0.5000

Properties
SG: Pm-3m, No. 221

---

No. 6
Entry from the Alexandria database: a relaxed Ca2Tb2AlPd4 crystal (GGA-PBE).

Cell lengths 6.5702, 6.5702, 6.5702 Å; angles 94.26, 117.57, 117.57 degrees
Positions (direct):
1 Ca 0.5000 0.7500 0.2500
2 Ca 0.5000 0.2500 0.7500
3 Tb 0.0000 0.6812 0.6812
4 Tb 0.0000 0.3188 0.3188
5 Al 0.0000 0.0000 0.0000
6 Pd 0.0000 0.7444 0.2556
7 Pd 0.4889 0.7444 0.7444
8 Pd 0.0000 0.2556 0.7444
9 Pd 0.5111 0.2556 0.2556

Properties
Calculated formation energy (eV per formula unit): -4.30
SG: I4/mmm, No. 139

---

Number 1: uncorrected energy -2.946 eV/atom. Number 2: uncorrected energy -3.992 eV/atom. Number 3: uncorrected energy -4.062 eV/atom. Number 4: uncorrected energy -3.346 eV/atom. Number 5: uncorrected energy -2.924 eV/atom. Number 6: uncorrected energy -4.675 eV/atom.